Entry 1:
A plane-wave DFT calculation with GGA-PBE was carried out for a relaxed structure of CrTc3P.

Structure (CIF):
```
data_CrTc3P
_chemical_formula_sum 'Cr1 Tc3 P1'
_space_group_name_H-M_alt 'P 1'
_space_group_IT_number 1
_space_group_name_Hall 'P 1'
_cell_length_a 4.4150
_cell_length_b 4.4150
_cell_length_c 4.4150
_cell_angle_alpha 90.00
_cell_angle_beta 90.00
_cell_angle_gamma 90.00
loop_
_atom_site_label
_atom_site_fract_x
_atom_site_fract_y
_atom_site_fract_z
Cr1 0.0000 0.0000 0.0000
Tc1 0.0000 0.0000 0.5000
Tc2 0.0000 0.5000 0.0000
Tc3 0.5000 0.0000 0.0000
P1 0.5000 0.5000 0.5000
```

space-group type	Pm-3m
energy above the lowest structure with this stoichiometry	701	meV per atom
DOS at the Fermi energy	5.10	states/eV/cell
V	17.212	Å³/atom

Entry 2:
A plane-wave DFT calculation with GGA-PBE was carried out for a relaxed structure of Rb2BaPtCl6.

Structure (CIF):
```
data_Rb2BaPtCl6
_chemical_formula_sum 'Rb2 Ba1 Pt1 Cl6'
_space_group_name_H-M_alt 'P 1'
_space_group_IT_number 1
_space_group_name_Hall 'P 1'
_cell_length_a 8.4202
_cell_length_b 8.4202
_cell_length_c 8.4202
_cell_angle_alpha 127.33
_cell_angle_beta 127.33
_cell_angle_gamma 77.71
loop_
_atom_site_label
_atom_site_fract_x
_atom_site_fract_y
_atom_site_fract_z
Rb1 0.2500 0.7500 0.5000
Rb2 0.7500 0.2500 0.5000
Ba1 0.0000 0.0000 0.0000
Pt1 0.5000 0.5000 0.0000
Cl1 0.2281 0.2281 0.0000
Cl2 0.2815 0.2815 0.5631
Cl3 0.2815 0.7185 0.0000
Cl4 0.7185 0.2815 0.0000
Cl5 0.7185 0.7185 0.4369
Cl6 0.7719 0.7719 0.0000
```

space-group type	I4/mmm
V	36.593	Å³/atom
E_form (uncorrected)	-1.55	eV/atom

Entry 3:
A plane-wave DFT calculation with GGA-PBE was carried out for a relaxed structure of NaScCd2F8.

Structure (CIF):
```
data_NaScCd2F8
_chemical_formula_sum 'Na1 Sc1 Cd2 F8'
_space_group_name_H-M_alt 'P 1'
_space_group_IT_number 1
_space_group_name_Hall 'P 1'
_cell_length_a 5.0925
_cell_length_b 6.9985
_cell_length_c 5.1282
_cell_angle_alpha 90.00
_cell_angle_beta 90.39
_cell_angle_gamma 90.00
loop_
_atom_site_label
_atom_site_fract_x
_atom_site_fract_y
_atom_site_fract_z
Na1 0.0000 0.0000 0.0000
Sc1 0.0000 0.5000 0.0000
Cd1 0.5000 0.2458 0.5000
Cd2 0.5000 0.7542 0.5000
F1 0.1915 0.2869 0.8132
F2 0.1915 0.7131 0.8132
F3 0.2880 0.5000 0.2921
F4 0.3044 0.0000 0.3089
F5 0.6956 0.0000 0.6911
F6 0.7120 0.5000 0.7079
F7 0.8085 0.2869 0.1868
F8 0.8085 0.7131 0.1868
```

space-group type	P2/m
DOS at the Fermi energy	0.00	states/eV/cell
V	15.231	Å³/atom
E_form (uncorrected)	-2.89	eV/atom

Entry 4:
A plane-wave DFT calculation with GGA-PBE was carried out for a relaxed structure of Mn2S8Cl.

Structure (CIF):
```
data_Mn2S8Cl
_chemical_formula_sum 'Mn2 S8 Cl1'
_space_group_name_H-M_alt 'P 1'
_space_group_IT_number 1
_space_group_name_Hall 'P 1'
_cell_length_a 6.9090
_cell_length_b 6.9090
_cell_length_c 7.8583
_cell_angle_alpha 106.42
_cell_angle_beta 106.42
_cell_angle_gamma 95.40
loop_
_atom_site_label
_atom_site_fract_x
_atom_site_fract_y
_atom_site_fract_z
Mn1 0.2479 0.2479 0.2476
Mn2 0.7521 0.7521 0.7524
S1 0.0729 0.0729 0.7514
S2 0.0960 0.7794 0.7540
S3 0.2206 0.9040 0.2460
S4 0.2893 0.2893 0.9739
S5 0.7107 0.7107 0.0261
S6 0.7794 0.0960 0.7540
S7 0.9040 0.2206 0.2460
S8 0.9271 0.9271 0.2486
Cl1 0.5000 0.5000 0.5000
```

space-group type	C2/m
DOS at the Fermi energy	3.16	states/eV/cell
V	30.809	Å³/atom
E_form (uncorrected)	-0.07	eV/atom

Entry 5:
A plane-wave DFT calculation with GGA-PBE was carried out for a relaxed structure of Na2HfBr2O2.

Structure (CIF):
```
data_Na2HfBr2O2
_chemical_formula_sum 'Na4 Hf2 Br4 O4'
_space_group_name_H-M_alt 'P 1'
_space_group_IT_number 1
_space_group_name_Hall 'P 1'
_cell_length_a 4.1114
_cell_length_b 4.1114
_cell_length_c 17.5386
_cell_angle_alpha 90.00
_cell_angle_beta 90.00
_cell_angle_gamma 90.00
loop_
_atom_site_label
_atom_site_fract_x
_atom_site_fract_y
_atom_site_fract_z
Na1 0.0000 0.0000 0.0978
Na2 0.0000 0.0000 0.9022
Na3 0.5000 0.5000 0.4022
Na4 0.5000 0.5000 0.5978
Hf1 0.0000 0.0000 0.5000
Hf2 0.5000 0.5000 0.0000
Br1 0.0000 0.0000 0.3441
Br2 0.0000 0.0000 0.6559
Br3 0.5000 0.5000 0.1559
Br4 0.5000 0.5000 0.8441
O1 0.0000 0.5000 0.0000
O2 0.0000 0.5000 0.5000
O3 0.5000 0.0000 0.0000
O4 0.5000 0.0000 0.5000
```

space-group type	I4/mmm
DOS at the Fermi energy	0.00	states/eV/cell
V	21.176	Å³/atom
E_form (uncorrected)	-2.21	eV/atom

Entry 6:
A plane-wave DFT calculation with GGA-PBE was carried out for a relaxed structure of CaSiRu.

Structure (CIF):
```
data_CaSiRu
_chemical_formula_sum 'Ca1 Si1 Ru1'
_space_group_name_H-M_alt 'P 1'
_space_group_IT_number 1
_space_group_name_Hall 'P 1'
_cell_length_a 4.0266
_cell_length_b 4.0266
_cell_length_c 4.4760
_cell_angle_alpha 90.00
_cell_angle_beta 90.00
_cell_angle_gamma 120.00
loop_
_atom_site_label
_atom_site_fract_x
_atom_site_fract_y
_atom_site_fract_z
Ca1 0.0000 0.0000 0.0000
Si1 0.3333 0.6667 0.5000
Ru1 0.6667 0.3333 0.5000
```

space-group type	P-6m2
DOS at the Fermi energy	1.88	states/eV/cell
V	20.950	Å³/atom
E_form (uncorrected)	-0.41	eV/atom

Entry 7:
A plane-wave DFT calculation with GGA-PBE was carried out for a relaxed structure of GdTi5.

Structure (CIF):
```
data_GdTi5
_chemical_formula_sum 'Gd2 Ti10'
_space_group_name_H-M_alt 'P 1'
_space_group_IT_number 1
_space_group_name_Hall 'P 1'
_cell_length_a 4.1751
_cell_length_b 13.0168
_cell_length_c 4.2242
_cell_angle_alpha 90.00
_cell_angle_beta 90.00
_cell_angle_gamma 90.00
loop_
_atom_site_label
_atom_site_fract_x
_atom_site_fract_y
_atom_site_fract_z
Gd1 0.0000 0.0000 0.0000
Gd2 0.5000 0.5000 0.0000
Ti1 0.0000 0.1748 0.5000
Ti2 0.0000 0.3227 0.0000
Ti3 0.0000 0.5000 0.5000
Ti4 0.0000 0.6773 0.0000
Ti5 0.0000 0.8252 0.5000
Ti6 0.5000 0.0000 0.5000
Ti7 0.5000 0.1773 0.0000
Ti8 0.5000 0.3252 0.5000
Ti9 0.5000 0.6748 0.5000
Ti10 0.5000 0.8227 0.0000
```

space-group type	Cmmm
DOS at the Fermi energy	18.59	states/eV/cell
total DFT energy (no corrections)	-104.82	eV per cell
V	19.131	Å³/atom

Entry 8:
A plane-wave DFT calculation with GGA-PBE was carried out for a relaxed structure of Sc2GaRu.

Structure (CIF):
```
data_Sc2GaRu
_chemical_formula_sum 'Sc2 Ga1 Ru1'
_space_group_name_H-M_alt 'P 1'
_space_group_IT_number 1
_space_group_name_Hall 'P 1'
_cell_length_a 3.2954
_cell_length_b 3.2954
_cell_length_c 6.5381
_cell_angle_alpha 90.00
_cell_angle_beta 90.00
_cell_angle_gamma 90.00
loop_
_atom_site_label
_atom_site_fract_x
_atom_site_fract_y
_atom_site_fract_z
Sc1 0.0000 0.0000 0.2343
Sc2 0.0000 0.0000 0.7657
Ga1 0.5000 0.5000 0.5000
Ru1 0.5000 0.5000 0.0000
```

space-group type	P4/mmm
DOS at the Fermi energy	1.60	states/eV/cell
total DFT energy (no corrections)	-27.62	eV per cell
V	17.750	Å³/atom

Entry 9:
A plane-wave DFT calculation with GGA-PBE was carried out for a relaxed structure of HoInSnHg.

Structure (CIF):
```
data_HoInSnHg
_chemical_formula_sum 'Ho1 In1 Sn1 Hg1'
_space_group_name_H-M_alt 'P 1'
_space_group_IT_number 1
_space_group_name_Hall 'P 1'
_cell_length_a 4.5344
_cell_length_b 4.5632
_cell_length_c 4.7708
_cell_angle_alpha 90.00
_cell_angle_beta 90.00
_cell_angle_gamma 90.00
loop_
_atom_site_label
_atom_site_fract_x
_atom_site_fract_y
_atom_site_fract_z
Ho1 0.0000 0.0000 0.0000
In1 0.0000 0.5000 0.5000
Sn1 0.5000 0.5000 0.0000
Hg1 0.5000 0.0000 0.5000
```

space-group type	Pmmm
energy above the lowest structure with this stoichiometry	0	meV per atom
DOS at the Fermi energy	1.14	states/eV/cell
V	24.679	Å³/atom

Entry 10:
A plane-wave DFT calculation with GGA-PBE was carried out for a relaxed structure of Ca3NpCl2O6.

Structure (CIF):
```
data_Ca3NpCl2O6
_chemical_formula_sum 'Ca3 Np1 Cl2 O6'
_space_group_name_H-M_alt 'P 1'
_space_group_IT_number 1
_space_group_name_Hall 'P 1'
_cell_length_a 6.9891
_cell_length_b 6.9891
_cell_length_c 5.4109
_cell_angle_alpha 95.80
_cell_angle_beta 95.80
_cell_angle_gamma 58.28
loop_
_atom_site_label
_atom_site_fract_x
_atom_site_fract_y
_atom_site_fract_z
Ca1 0.0000 0.0000 0.0000
Ca2 0.0000 0.5000 0.5000
Ca3 0.5000 0.0000 0.5000
Np1 0.5000 0.5000 0.5000
Cl1 0.2010 0.2010 0.8549
Cl2 0.7990 0.7990 0.1451
O1 0.2119 0.6734 0.6989
O2 0.3266 0.7881 0.3011
O3 0.3463 0.3463 0.3405
O4 0.6537 0.6537 0.6595
O5 0.6734 0.2119 0.6989
O6 0.7881 0.3266 0.3011
```

space-group type	C2/m
DOS at the Fermi energy	5.43	states/eV/cell
V	18.610	Å³/atom
E_form (uncorrected)	-2.45	eV/atom

Entry 11:
A plane-wave DFT calculation with GGA-PBE was carried out for a relaxed structure of Ba3TeS2.

Structure (CIF):
```
data_Ba3TeS2
_chemical_formula_sum 'Ba6 Te2 S4'
_space_group_name_H-M_alt 'P 1'
_space_group_IT_number 1
_space_group_name_Hall 'P 1'
_cell_length_a 4.6803
_cell_length_b 6.7386
_cell_length_c 14.1780
_cell_angle_alpha 90.00
_cell_angle_beta 90.00
_cell_angle_gamma 90.00
loop_
_atom_site_label
_atom_site_fract_x
_atom_site_fract_y
_atom_site_fract_z
Ba1 0.0000 0.0000 0.0000
Ba2 0.0000 0.0000 0.3182
Ba3 0.0000 0.0000 0.6818
Ba4 0.5000 0.5000 0.1818
Ba5 0.5000 0.5000 0.5000
Ba6 0.5000 0.5000 0.8182
Te1 0.0000 0.5000 0.0000
Te2 0.5000 0.0000 0.5000
S1 0.0000 0.5000 0.3345
S2 0.0000 0.5000 0.6655
S3 0.5000 0.0000 0.1655
S4 0.5000 0.0000 0.8345
```

space-group type	Immm
DOS at the Fermi energy	0.00	states/eV/cell
V	37.262	Å³/atom
E_form (uncorrected)	-1.94	eV/atom

Entry 12:
A plane-wave DFT calculation with GGA-PBE was carried out for a relaxed structure of Na3YI6.

Structure (CIF):
```
data_Na3YI6
_chemical_formula_sum 'Na6 Y2 I12'
_space_group_name_H-M_alt 'P 1'
_space_group_IT_number 1
_space_group_name_Hall 'P 1'
_cell_length_a 9.4396
_cell_length_b 9.4396
_cell_length_c 9.4396
_cell_angle_alpha 90.92
_cell_angle_beta 90.92
_cell_angle_gamma 90.92
loop_
_atom_site_label
_atom_site_fract_x
_atom_site_fract_y
_atom_site_fract_z
Na1 0.0751 0.7449 0.5849
Na2 0.2551 0.4151 0.9249
Na3 0.4151 0.9249 0.2551
Na4 0.5849 0.0751 0.7449
Na5 0.7449 0.5849 0.0751
Na6 0.9249 0.2551 0.4151
Y1 0.0000 0.0000 0.0000
Y2 0.5000 0.5000 0.5000
I1 0.0509 0.6930 0.9162
I2 0.0838 0.9491 0.3070
I3 0.1977 0.4127 0.5742
I4 0.3070 0.0838 0.9491
I5 0.4127 0.5742 0.1977
I6 0.4258 0.8023 0.5873
I7 0.5742 0.1977 0.4127
I8 0.5873 0.4258 0.8023
I9 0.6930 0.9162 0.0509
I10 0.8023 0.5873 0.4258
I11 0.9162 0.0509 0.6930
I12 0.9491 0.3070 0.0838
```

space-group type	R-3
energy above the lowest structure with this stoichiometry	0	meV per atom
DOS at the Fermi energy	0.00	states/eV/cell
V	42.039	Å³/atom
E_form (uncorrected)	-1.30	eV/atom